Entry from Alexandria via LeMat-Bulk: an optimized crystal structure of Ac2DyBiO6 (GGA-PBE).

Cell: 5.730 5.730 5.724 Å, 90.00 90.00 90.00°
Space group P4mm (No. 99)
Symmetry-distinct sites (fractional):
Ac  0.000  0.500  0.000 [2 per cell]
Dy  0.000  0.000  0.579 [1 per cell]
Bi  0.500  0.500  0.569 [1 per cell]
O  0.000  0.000  0.200 [1 per cell]
O  0.246  0.246  0.746 [4 per cell]
O  0.500  0.500  0.164 [1 per cell]

## Properties
Total moment, μB per formula unit: 0.000
Crystal system: tetragonal
E, eV/atom: -7.368